# 1
Density functional theory data (PBE-GGA) for crystalline CaCI2 at its relaxed geometry.

Calculated values
* polymorph energy (0 for the lowest one): 0.051 eV/atom
* total DFT energy (no corrections): -33.68 eV per cell
* formation energy without anion corrections: -0.6290 eV/atom
* density of states at the Fermi level: 0.0 states/eV per cell
* V: 345 Å³/cell

Structure (POSCAR):
```
CaCI2
1.0
-2.3086 -3.2582 2.1224
0.2032 -6.3634 -4.9428
7.4720 -4.5748 4.7742
Ca I C
2 4 2
direct
0.6410 0.7867 0.2968
0.3612 0.2687 0.3818
0.2947 0.5788 0.1554
0.7031 0.4808 0.5260
0.9816 0.9646 0.4895
0.7605 0.9924 0.8715
0.5441 0.0807 0.1906
0.6288 0.0404 0.0696
```

---

# 2
Density functional theory data (PBE-GGA) for crystalline K6RbNa2O at its relaxed geometry.

Calculated values
* total DFT energy (no corrections): -18.17 eV per cell
* formation energy without anion corrections: -0.3022 eV/atom
* density of states at the Fermi level: 5.2 states/eV per cell
* V: 540 Å³/cell

Structure (POSCAR):
```
K6RbNa2O
1.0
-6.5938 7.0292 -3.8781
-0.0291 -2.7187 -7.5666
-2.9396 -4.7187 6.4929
Rb K Na O
1 6 2 1
direct
0.4999 0.5003 0.9997
0.8125 0.9449 0.1088
0.0139 0.6132 0.8103
0.7795 0.9477 0.6574
0.2203 0.0531 0.3421
0.1874 0.0558 0.8908
0.9859 0.3876 0.1894
0.6051 0.3099 0.4457
0.3947 0.6911 0.5539
0.9999 0.0004 0.9998
```